TlIn2Ir2 | GGA-PBE | relaxed

Values from the calculation:
Final energy in eV per atom: -5.07
Size of the total moment in μB/f.u.: 0.0
Energy relative to the lowest polymorph listed for this composition in kcal/mol of atoms: 0.00
Crystal system: tetragonal
Energy of formation in kJ per mole of atoms: 3.77

Cell: 7.893 7.893 3.135 Å, 90.00 90.00 90.00°
Space group P4/mbm (No. 127)
Symmetry-distinct sites (fractional):
1 Tl 0.000 0.000 0.000 [2 per cell]
2 In 0.146 0.354 0.500 [4 per cell]
3 Ir 0.151 0.651 0.000 [4 per cell]

=====

TlIn2Ir2 | GGA-PBE | relaxed

Values from the calculation:
Final energy in eV per atom: -4.95
Size of the total moment in μB/f.u.: 0.0
Energy relative to the lowest polymorph listed for this composition in kcal/mol of atoms: 2.88
Crystal system: tetragonal
Energy of formation in kJ per mole of atoms: 15.80

Cell: 8.157 8.157 2.988 Å, 90.00 90.00 90.00°
Space group P4/mbm (No. 127)
Symmetry-distinct sites (fractional):
1 Tl 0.000 0.000 0.000 [2 per cell]
2 In 0.146 0.354 0.000 [4 per cell]
3 Ir 0.147 0.647 0.500 [4 per cell]

=====

Number 1: calculated volume 19.53 Å³ per atom. Number 2: calculated volume 19.88 Å³ per atom.